Entry 1:
DFT (PBE) results for a geometry-optimized MnBeAu2 structure.

Geometry as POSCAR:
```
MnBeAu2
1.0
2.8458 0.0000 0.0000
0.0000 2.8458 0.0000
0.0000 0.0000 7.1375
Mn Be Au
1 1 2
Direct
0.0000 0.0000 0.0000
0.5000 0.5000 0.8049
0.0000 0.0000 0.5968
0.5000 0.5000 0.2720
```

SG: No. 99

Entry 2:
DFT (PBE) results for a geometry-optimized K4YZr structure.

Geometry as POSCAR:
```
K4YZr
1.0
0.0000 5.0880 5.0880
5.0880 0.0000 5.0880
5.0880 5.0880 0.0000
K Y Zr
4 1 1
Direct
0.3758 0.3758 0.3758
0.3758 0.3758 0.8727
0.3758 0.8727 0.3758
0.8727 0.3758 0.3758
0.0000 0.0000 0.0000
0.7500 0.7500 0.7500
```

SG: No. 216

Entry 3:
DFT (PBE) results for a geometry-optimized PmCdIrPt structure.

Geometry as POSCAR:
```
PmCdIrPt
1.0
0.0000 3.4156 3.4156
3.4156 0.0000 3.4156
3.4156 3.4156 0.0000
Pm Cd Ir Pt
1 1 1 1
Direct
0.0000 0.0000 0.0000
0.5000 0.5000 0.5000
0.7500 0.7500 0.7500
0.2500 0.2500 0.2500
```

SG: No. 216

Entry 4:
DFT (PBE) results for a geometry-optimized Ca3TlCd3 structure.

Geometry as POSCAR:
```
Ca3TlCd3
1.0
5.9667 -2.4008 0.0000
5.9667 2.4008 0.0000
-4.7325 0.0000 14.5429
Ca Tl Cd
6 2 6
Direct
0.0310 0.0310 0.3825
0.1116 0.1116 0.9242
0.2361 0.2361 0.2226
0.7639 0.7639 0.7774
0.8884 0.8884 0.0758
0.9690 0.9690 0.6175
0.2616 0.2616 0.6176
0.7384 0.7384 0.3824
0.3744 0.3744 0.4552
0.3873 0.3873 0.9256
0.4897 0.4897 0.7740
0.5103 0.5103 0.2260
0.6127 0.6127 0.0744
0.6256 0.6256 0.5448
```

SG: No. 12

Entry 5:
DFT (PBE) results for a geometry-optimized PmPr4Zn structure.

Geometry as POSCAR:
```
PmPr4Zn
1.0
4.5939 -6.9251 0.0000
4.5939 6.9251 0.0000
-2.0933 0.0000 6.1497
Pm Pr Zn
2 8 2
Direct
0.0941 0.9059 0.7500
0.9059 0.0941 0.2500
0.1125 0.3324 0.8740
0.2151 0.5768 0.4484
0.3324 0.1125 0.3740
0.4232 0.7849 0.0516
0.5768 0.2151 0.9484
0.6676 0.8875 0.6260
0.7849 0.4232 0.5516
0.8875 0.6676 0.1260
0.4993 0.5007 0.7500
0.5007 0.4993 0.2500
```

SG: No. 15
Distance to the lowest polymorph of the same formula: 0.089 eV/atom

Entry 6:
DFT (PBE) results for a geometry-optimized Li4Mg3Ag4 structure.

Geometry as POSCAR:
```
Li4Mg3Ag4
1.0
3.0946 0.0000 0.0000
0.0004 3.5565 0.0000
1.3742 1.7429 17.6887
Li Mg Ag
4 3 4
Direct
0.0877 0.0864 0.3249
0.2754 0.2737 0.9541
0.7246 0.7263 0.0459
0.9123 0.9136 0.6751
0.0000 0.0000 0.5000
0.3595 0.3621 0.7776
0.6405 0.6379 0.2224
0.1839 0.1843 0.1292
0.4517 0.4530 0.5975
0.5483 0.5470 0.4025
0.8161 0.8157 0.8708
```

SG: No. 2
Distance to the lowest polymorph of the same formula: 0.000 eV/atom

Entry 7:
DFT (PBE) results for a geometry-optimized Pm2NiPt2 structure.

Geometry as POSCAR:
```
Pm2NiPt2
1.0
5.4540 -2.0571 0.0000
5.4540 2.0571 0.0000
-5.2338 0.0000 9.7248
Pm Ni Pt
4 2 4
Direct
0.0909 0.0909 0.3974
0.3062 0.3062 0.8540
0.6938 0.6938 0.1460
0.9091 0.9091 0.6026
0.4119 0.4119 0.1845
0.5881 0.5881 0.8155
0.0495 0.0495 0.9123
0.3566 0.3566 0.3849
0.6434 0.6434 0.6151
0.9505 0.9505 0.0877
```

SG: No. 12

Entry 8:
DFT (PBE) results for a geometry-optimized Tl3CuP2O8 structure.

Geometry as POSCAR:
```
Tl3CuP2O8
1.0
5.4733 0.0000 0.0000
-2.7367 4.7400 0.0000
0.0000 0.0000 8.2311
Tl Cu P O
3 1 2 8
Direct
0.0000 0.0000 0.0000
0.3333 0.6667 0.7690
0.6667 0.3333 0.2310
0.0000 0.0000 0.5000
0.3333 0.6667 0.2980
0.6667 0.3333 0.7020
0.1749 0.3499 0.3497
0.1749 0.8251 0.3497
0.3333 0.6667 0.1090
0.3499 0.1749 0.6503
0.6501 0.8251 0.3497
0.6667 0.3333 0.8910
0.8251 0.1749 0.6503
0.8251 0.6501 0.6503
```

SG: No. 164

Entry 9:
DFT (PBE) results for a geometry-optimized GeP2Pt structure.

Geometry as POSCAR:
```
GeP2Pt
1.0
-2.7413 2.7413 5.3449
2.7413 -2.7413 5.3449
2.7413 2.7413 -5.3449
Ge P Pt
2 4 2
Direct
0.0000 0.0000 0.0000
0.7500 0.2500 0.5000
0.1363 0.6250 0.0113
0.3750 0.3863 0.5113
0.6137 0.1250 0.9887
0.8750 0.8637 0.4887
0.2500 0.7500 0.5000
0.5000 0.5000 0.0000
```

SG: No. 122

Entry 10:
DFT (PBE) results for a geometry-optimized GaAgHPd2 structure.

Geometry as POSCAR:
```
GaAgHPd2
1.0
4.0208 0.0000 0.0000
0.0000 4.0208 0.0000
0.0000 0.0000 4.0726
Ga Ag H Pd
1 1 1 2
Direct
0.0000 0.0000 0.0000
0.5000 0.5000 0.0000
0.5000 0.5000 0.5000
0.0000 0.5000 0.5000
0.5000 0.0000 0.5000
```

SG: No. 123
Distance to the lowest polymorph of the same formula: 0.000 eV/atom

Entry 11:
DFT (PBE) results for a geometry-optimized Pm5YHo2 structure.

Geometry as POSCAR:
```
Pm5YHo2
1.0
3.2261 -12.8088 0.0000
3.2261 12.8088 0.0000
-0.6036 0.0000 6.5618
Pm Y Ho
10 2 4
Direct
0.1240 0.8760 0.7500
0.1287 0.4987 0.0038
0.1583 0.3548 0.6849
0.3548 0.1583 0.1849
0.4987 0.1287 0.5038
0.5013 0.8713 0.4962
0.6452 0.8417 0.8151
0.8417 0.6452 0.3151
0.8713 0.5013 0.9962
0.8760 0.1240 0.2500
0.4531 0.5469 0.2500
0.5469 0.4531 0.7500
0.0000 0.0000 0.0000
0.0000 0.0000 0.5000
0.0000 0.5000 0.5000
0.5000 0.0000 0.0000
```

SG: No. 15
Distance to the lowest polymorph of the same formula: 0.138 eV/atom

Entry 12:
DFT (PBE) results for a geometry-optimized Cr2CoB structure.

Geometry as POSCAR:
```
Cr2CoB
1.0
-3.2823 3.2823 2.0007
3.2823 -3.2823 2.0007
3.2823 3.2823 -2.0007
Cr Co B
4 2 2
Direct
0.0387 0.1250 0.4137
0.3750 0.9613 0.0863
0.7113 0.6250 0.5863
0.8750 0.2887 0.9137
0.2500 0.7500 0.5000
0.5000 0.5000 0.0000
0.0000 0.0000 0.0000
0.7500 0.2500 0.5000
```

SG: No. 122

Entry 13:
DFT (PBE) results for a geometry-optimized YMg2Se structure.

Geometry as POSCAR:
```
YMg2Se
1.0
0.0000 3.6318 3.6318
3.6318 0.0000 3.6318
3.6318 3.6318 0.0000
Y Mg Se
1 2 1
Direct
0.0000 0.0000 0.0000
0.2500 0.2500 0.2500
0.5000 0.5000 0.5000
0.7500 0.7500 0.7500
```

SG: No. 216

Entry 14:
DFT (PBE) results for a geometry-optimized ZrFe4Tc structure.

Geometry as POSCAR:
```
ZrFe4Tc
1.0
0.0000 3.4359 3.4359
3.4359 0.0000 3.4359
3.4359 3.4359 0.0000
Zr Fe Tc
1 4 1
Direct
0.0000 0.0000 0.0000
0.1285 0.6238 0.6238
0.6238 0.1285 0.6238
0.6238 0.6238 0.1285
0.6238 0.6238 0.6238
0.2500 0.2500 0.2500
```

SG: No. 216

Entry 15:
DFT (PBE) results for a geometry-optimized AcPr2RuO8 structure.

Geometry as POSCAR:
```
AcPr2RuO8
1.0
4.6471 0.0000 0.0000
-0.1189 5.4315 0.0000
-0.2051 -0.5156 7.2856
Ac Pr Ru O
1 2 1 8
Direct
0.0000 0.0000 0.0000
0.4495 0.4566 0.7451
0.5505 0.5434 0.2549
0.0000 0.0000 0.5000
0.0835 0.7442 0.2905
0.1853 0.8267 0.6845
0.3229 0.1988 0.4624
0.4240 0.2611 0.0101
0.5760 0.7389 0.9899
0.6771 0.8012 0.5376
0.8147 0.1733 0.3155
0.9165 0.2558 0.7095
```

SG: No. 2

Entry 16:
DFT (PBE) results for a geometry-optimized Zr2TcPt structure.

Geometry as POSCAR:
```
Zr2TcPt
1.0
-1.4345 2.5703 5.2125
1.4345 -2.5703 5.2125
1.4345 2.5703 -5.2125
Zr Tc Pt
2 1 1
Direct
0.2472 0.2472 0.0000
0.7528 0.7528 0.0000
0.0000 0.0000 0.0000
0.5000 0.5000 0.0000
```

SG: No. 71

Entry 17:
DFT (PBE) results for a geometry-optimized KSn2C structure.

Geometry as POSCAR:
```
KSn2C
1.0
-3.5218 3.5218 4.8641
3.5218 -3.5218 4.8641
3.5218 3.5218 -4.8641
K Sn C
2 4 2
Direct
0.0000 0.0000 0.0000
0.7500 0.2500 0.5000
0.2608 0.6250 0.1358
0.3750 0.5108 0.6358
0.4892 0.1250 0.8642
0.8750 0.7392 0.3642
0.2500 0.7500 0.5000
0.5000 0.5000 0.0000
```

SG: No. 122

Entry 18:
DFT (PBE) results for a geometry-optimized Y3IrCl3 structure.

Geometry as POSCAR:
```
Y3IrCl3
1.0
3.4332 1.9822 10.3577
-3.4332 1.9822 10.3577
0.0000 -3.9643 10.3577
Y Ir Cl
6 2 6
Direct
0.0773 0.4459 0.8145
0.1855 0.9227 0.5541
0.4459 0.8145 0.0773
0.5541 0.1855 0.9227
0.8145 0.0773 0.4459
0.9227 0.5541 0.1855
0.1667 0.1667 0.1667
0.8333 0.8333 0.8333
0.0825 0.7029 0.3924
0.2971 0.6076 0.9175
0.3924 0.0825 0.7029
0.6076 0.9175 0.2971
0.7029 0.3924 0.0825
0.9175 0.2971 0.6076
```

SG: No. 148

Number 1: raw total energy -4.873 eV per atom. Number 2: raw total energy -2.285 eV per atom. Number 3: raw total energy -5.580 eV per atom. Number 4: raw total energy -1.881 eV per atom. Number 5: raw total energy -4.195 eV per atom. Number 6: raw total energy -2.362 eV per atom. Number 7: raw total energy -6.366 eV per atom. Number 8: raw total energy -5.803 eV per atom. Number 9: raw total energy -5.586 eV per atom. Number 10: raw total energy -4.141 eV per atom. Number 11: raw total energy -4.651 eV per atom. Number 12: raw total energy -7.899 eV per atom. Number 13: raw total energy -3.595 eV per atom. Number 14: raw total energy -8.875 eV per atom. Number 15: raw total energy -7.471 eV per atom. Number 16: raw total energy -8.119 eV per atom. Number 17: raw total energy -3.810 eV per atom. Number 18: raw total energy -6.371 eV per atom.